(1)
PBE-GGA Tc2Sb2Rh, relaxed; symmetry = P4/mbm, No. 127; formation energy (no corrections) = 291.9 meV per atom
1.0
-6.5801 2.5314 2.5825
-0.1228 -5.5153 5.0932
1.5096 1.8468 2.0362
Sb Tc Rh
4 4 2
Cartesian
-5.6309 -1.4856 5.5221
-2.3638 -3.7826 5.1832
-4.3390 0.7987 2.4925
-1.0720 -1.4983 2.1537
-1.6113 1.0378 2.6686
-3.5819 -2.1749 7.0433
-4.9276 1.1240 5.0490
-0.2656 -2.2612 4.6629
-3.3514 -1.4919 3.8379
0.0000 0.0000 0.0000


(2)
PBE-GGA TcSbRh2, relaxed; symmetry = R3m, No. 160; formation energy (no corrections) = 241.9 meV per atom
1.0
-1.6549 -2.5932 -8.1472
1.3078 -2.4401 -8.2569
-0.0145 -4.8834 -7.2106
Rh Sb Tc
2 1 1
Cartesian
-0.0897 -2.4611 -5.8606
-0.0010 -0.0271 -0.0646
-0.1812 -4.9710 -11.8375
-0.2703 -7.4158 -17.6596